# 1
Density functional theory data (PBE) for a geometry-optimized Zr6Ga2C structure.

Values from the calculation:
**Fermi-level density of states**: 1.17 states/eV per atom
**Magnetic moment**: 0.0 μB per cell
**Calculated formation energy**: -0.4326 eV per atom

a = 5.794 Å, b = 7.094 Å, c = 10.375 Å
α = 90.00°, β = 122.58°, γ = 90.00°
Space group P2_1/c (No. 14)
Symmetry-distinct sites (fractional):
Zr 0.119 0.168 0.456 [4 per cell]
Zr 0.308 0.702 0.452 [4 per cell]
Zr 0.361 0.027 0.245 [4 per cell]
Ga 0.182 0.110 0.756 [4 per cell]
C 0.500 0.000 0.500 [2 per cell]

# 2
Density functional theory data (PBE) for a geometry-optimized Zr6Ga3C structure.

Values from the calculation:
**Fermi-level density of states**: 0.77 states/eV per atom
**Magnetic moment**: 0.0 μB per cell
**Calculated formation energy**: -0.4610 eV per atom

a = 5.789 Å, b = 7.311 Å, c = 10.750 Å
α = 90.00°, β = 120.09°, γ = 90.00°
Space group P2_1/c (No. 14)
Symmetry-distinct sites (fractional):
Zr 0.088 0.045 0.231 [4 per cell]
Zr 0.175 0.708 0.056 [4 per cell]
Zr 0.390 0.152 0.051 [4 per cell]
Ga 0.333 0.112 0.741 [4 per cell]
Ga 0.500 0.000 0.500 [2 per cell]
C 0.000 0.000 0.000 [2 per cell]